Dy8Al2Sn: optimized geometry, PBE.

space-group type	C2/m
formation energy from the elements	-0.266	eV/atom
spin magnetization	0.000	μB per formula unit
N(E_F)	10.85	states/eV per cell

Cell lengths 8.697, 8.697, 7.929 Å; angles 110.47, 110.47, 32.70 degrees
Element x y z (fractional)
Dy1 0.050 0.050 0.230
Dy2 0.155 0.155 0.723
Dy3 0.321 0.321 0.559
Dy4 0.395 0.395 0.041
Dy5 0.605 0.605 0.959
Dy6 0.679 0.679 0.441
Dy7 0.845 0.845 0.277
Dy8 0.950 0.950 0.770
Al1 0.219 0.219 0.154
Al2 0.781 0.781 0.846
Sn1 0.500 0.500 0.500


Sm2ZrNpP4: optimized geometry, PBE.

space-group type	P2/m
formation energy from the elements	-1.344	eV/atom
spin magnetization	3.840	μB per formula unit
N(E_F)	9.73	states/eV per cell

Cell lengths 6.845, 3.964, 6.892 Å; angles 90.00, 109.19, 90.00 degrees
Element x y z (fractional)
Sm1 0.000 0.000 0.000
Sm2 0.500 0.500 0.000
Zr1 0.000 0.500 0.500
Np1 0.500 0.000 0.500
P1 0.239 0.000 0.731
P2 0.250 0.500 0.267
P3 0.750 0.500 0.733
P4 0.761 0.000 0.269


In4SnHg2Pb2: optimized geometry, PBE.

space-group type	C2/m
formation energy from the elements	0.028	eV/atom
spin magnetization	0.000	μB per formula unit
N(E_F)	3.84	states/eV per cell

Cell lengths 8.813, 8.813, 8.311 Å; angles 106.38, 106.38, 24.06 degrees
Element x y z (fractional)
In1 0.031 0.031 0.333
In2 0.297 0.297 0.670
In3 0.703 0.703 0.330
In4 0.969 0.969 0.667
Sn1 0.500 0.500 0.000
Hg1 0.368 0.368 0.359
Hg2 0.632 0.632 0.641
Pb1 0.161 0.161 0.980
Pb2 0.839 0.839 0.020


RbVH3: optimized geometry, PBE.

E above lowest polymorph	0	meV per atom
space-group type	Pm-3m
spin magnetization	3.000	μB per formula unit

Cell lengths 3.999, 3.999, 3.999 Å; angles 90.00, 90.00, 90.00 degrees
Element x y z (fractional)
Rb1 0.000 0.000 0.000
V1 0.500 0.500 0.500
H1 0.000 0.500 0.500
H2 0.500 0.000 0.500
H3 0.500 0.500 0.000


Na3NbAu: optimized geometry, PBE.

E above lowest polymorph	393	meV per atom
space-group type	Pm-3m
formation energy from the elements	1.287	eV/atom
spin magnetization	5.021	μB per formula unit
N(E_F)	0.29	states/eV per cell

Cell lengths 5.893, 5.893, 5.893 Å; angles 90.00, 90.00, 90.00 degrees
Element x y z (fractional)
Na1 0.000 0.000 0.500
Na2 0.000 0.500 0.000
Na3 0.500 0.000 0.000
Nb1 0.000 0.000 0.000
Au1 0.500 0.500 0.500


Ba2Cd12AgAu3: optimized geometry, PBE.

space-group type	R-3m
formation energy from the elements	0.007	eV/atom
spin magnetization	0.000	μB per formula unit
N(E_F)	8.17	states/eV per cell

Cell lengths 8.660, 8.660, 8.660 Å; angles 71.50, 71.50, 71.50 degrees
Element x y z (fractional)
Ba1 0.111 0.111 0.111
Ba2 0.889 0.889 0.889
Cd1 0.154 0.636 0.636
Cd2 0.200 0.200 0.659
Cd3 0.200 0.659 0.200
Cd4 0.341 0.800 0.800
Cd5 0.364 0.364 0.846
Cd6 0.364 0.846 0.364
Cd7 0.636 0.154 0.636
Cd8 0.636 0.636 0.154
Cd9 0.659 0.200 0.200
Cd10 0.800 0.341 0.800
Cd11 0.800 0.800 0.341
Cd12 0.846 0.364 0.364
Ag1 0.500 0.500 0.500
Au1 0.000 0.500 0.500
Au2 0.500 0.000 0.500
Au3 0.500 0.500 0.000


Tb3CdH: optimized geometry, PBE.

space-group type	Pm-3m
DFT total energy	-3.8560	eV per atom
spin magnetization	1.390	μB per formula unit
N(E_F)	6.15	states/eV per cell

Cell lengths 4.872, 4.872, 4.872 Å; angles 90.00, 90.00, 90.00 degrees
Element x y z (fractional)
Tb1 0.000 0.000 0.500
Tb2 0.000 0.500 0.000
Tb3 0.500 0.000 0.000
Cd1 0.500 0.500 0.500
H1 0.000 0.000 0.000


Pm5Nd4Ni2: optimized geometry, PBE.

space-group type	P2/m
formation energy from the elements	-0.025	eV/atom
spin magnetization	0.000	μB per formula unit
N(E_F)	15.08	states/eV per cell

Cell lengths 8.962, 3.660, 10.304 Å; angles 90.00, 96.61, 90.00 degrees
Element x y z (fractional)
Pm1 0.000 0.000 0.000
Pm2 0.024 0.000 0.331
Pm3 0.347 0.000 0.861
Pm4 0.653 0.000 0.139
Pm5 0.976 0.000 0.669
Nd1 0.307 0.500 0.547
Nd2 0.320 0.500 0.183
Nd3 0.680 0.500 0.817
Nd4 0.693 0.500 0.453
Ni1 0.444 0.000 0.377
Ni2 0.556 0.000 0.623


CeAgPt: optimized geometry, PBE.

E above lowest polymorph	159	meV per atom
space-group type	F-43m
formation energy from the elements	-0.541	eV/atom
spin magnetization	0.933	μB per formula unit
N(E_F)	26.78	states/eV per cell

Cell lengths 6.699, 6.699, 6.699 Å; angles 90.00, 90.00, 90.00 degrees
Element x y z (fractional)
Ce1 0.000 0.000 0.000
Ce2 0.000 0.500 0.500
Ce3 0.500 0.000 0.500
Ce4 0.500 0.500 0.000
Ag1 0.000 0.000 0.500
Ag2 0.000 0.500 0.000
Ag3 0.500 0.000 0.000
Ag4 0.500 0.500 0.500
Pt1 0.250 0.250 0.750
Pt2 0.250 0.750 0.250
Pt3 0.750 0.250 0.250
Pt4 0.750 0.750 0.750


NaInGa2Cl8: optimized geometry, PBE.

space-group type	P-3
DFT total energy	-3.2990	eV per atom
spin magnetization	0.000	μB per formula unit
N(E_F)	0.00	states/eV per cell

Cell lengths 6.548, 6.548, 9.678 Å; angles 90.00, 90.00, 120.00 degrees
Element x y z (fractional)
Na1 0.000 0.000 0.000
In1 0.000 0.000 0.500
Ga1 0.333 0.667 0.262
Ga2 0.667 0.333 0.738
Cl1 0.020 0.339 0.192
Cl2 0.320 0.980 0.192
Cl3 0.333 0.667 0.489
Cl4 0.339 0.320 0.808
Cl5 0.661 0.680 0.192
Cl6 0.667 0.333 0.511
Cl7 0.680 0.020 0.808
Cl8 0.980 0.661 0.808